1.
Material: KSr2LiCu
Method: DFT, PBE-GGA
State: relaxed

The value obtained for the density is 2.31 g/cm³. Its density of states at the Fermi level is 0.77 states/eV/atom. The size of the total moment comes out at 0.000 μB per atom. The value obtained for the formation energy is 0.11 eV per atom.

It has space group P4/mmm (No. 123), with a = 6.093 Å, b = 6.093 Å, c = 5.507 Å, α = 90.00°, β = 90.00° and γ = 90.00°. The asymmetric unit holds K at (0.000, 0.000, 0.000), Sr at (0.000, 0.500, 0.500), Li at (0.500, 0.500, 0.000) and Cu at (0.500, 0.500, 0.500).

***

2.
Material: KLiTl2Cu
Method: DFT, PBE-GGA
State: relaxed

The value obtained for the density is 5.92 g/cm³. Its density of states at the Fermi level is 0.60 states/eV/atom. The size of the total moment comes out at 0.000 μB per atom. The value obtained for the formation energy is 0.05 eV per atom.

It has space group P4/mmm (No. 123), with a = 5.272 Å, b = 5.272 Å, c = 5.235 Å, α = 90.00°, β = 90.00° and γ = 90.00°. The asymmetric unit holds K at (0.000, 0.000, 0.000), Li at (0.500, 0.500, 0.000), Tl at (0.000, 0.500, 0.500) and Cu at (0.500, 0.500, 0.500).

***

3.
Material: K2LiCuW
Method: DFT, PBE-GGA
State: relaxed

The value obtained for the density is 2.95 g/cm³. Its density of states at the Fermi level is 1.06 states/eV/atom. The size of the total moment comes out at 0.813 μB per atom. The value obtained for the formation energy is 1.30 eV per atom.

It has space group P4/mmm (No. 123), with a = 6.112 Å, b = 6.112 Å, c = 5.006 Å, α = 90.00°, β = 90.00° and γ = 90.00°. The asymmetric unit holds K at (0.000, 0.500, 0.000), Li at (0.000, 0.000, 0.500), Cu at (0.500, 0.500, 0.000) and W at (0.500, 0.500, 0.500).

***

4.
Material: KMg2Cu
Method: DFT, PBE-GGA
State: relaxed

The value obtained for the density is 2.34 g/cm³. Its density of states at the Fermi level is 0.47 states/eV/atom. The size of the total moment comes out at 0.000 μB per atom. The value obtained for the formation energy is 0.16 eV per atom.

It has space group Pm (No. 6), with a = 3.671 Å, b = 3.521 Å, c = 8.317 Å, α = 90.00°, β = 90.20° and γ = 90.00°. The asymmetric unit holds K at (0.000, 0.000, 0.000), Mg at (0.499, 0.500, 0.643), Mg at (0.998, 0.000, 0.416) and Cu at (0.498, 0.500, 0.314).

***

5.
Material: K2MgCu
Method: DFT, PBE-GGA
State: relaxed

The value obtained for the density is 1.89 g/cm³. Its density of states at the Fermi level is 0.53 states/eV/atom. The size of the total moment comes out at 0.000 μB per atom. The value obtained for the formation energy is 0.21 eV per atom.

It has space group P4mm (No. 99), with a = 3.762 Å, b = 3.762 Å, c = 10.298 Å, α = 90.00°, β = 90.00° and γ = 90.00°. The asymmetric unit holds K at (0.000, 0.000, 0.000), K at (0.500, 0.500, 0.402), Mg at (0.000, 0.000, 0.676) and Cu at (0.500, 0.500, 0.739).

***

6.
Material: KMg2Cu
Method: DFT, PBE-GGA
State: relaxed

The value obtained for the density is 2.06 g/cm³. Its density of states at the Fermi level is 0.41 states/eV/atom. The size of the total moment comes out at 0.000 μB per atom. The value obtained for the formation energy is 0.21 eV per atom.

It has space group Cm (No. 8), with a = 9.244 Å, b = 3.727 Å, c = 7.558 Å, α = 90.00°, β = 110.71° and γ = 90.00°. The asymmetric unit holds K at (0.000, 0.000, 0.000), Mg at (0.169, 0.000, 0.620), Mg at (0.401, 0.000, 0.392) and Cu at (0.195, 0.500, 0.392).